Th2CdIrPb: relaxed, PBE.

Calculated values
E_form ... -0.52 eV per atom
Fermi-level density of states ... 7.6 states/eV/cell

a = 7.830 Å, b = 4.273 Å, c = 9.032 Å
α = 90.00°, β = 113.83°, γ = 90.00°
Atoms (fractional coordinates):
Th (0.049, 0.250, 0.193)
Th (0.447, 0.750, 0.150)
Th (0.553, 0.250, 0.850)
Th (0.951, 0.750, 0.807)
Cd (0.113, 0.250, 0.607)
Cd (0.887, 0.750, 0.393)
Ir (0.224, 0.250, 0.957)
Ir (0.776, 0.750, 0.043)
Pb (0.348, 0.750, 0.514)
Pb (0.652, 0.250, 0.486)

ZnCdIr2Pb: relaxed, PBE.

Calculated values
E_form ... 1.51 eV per atom
Fermi-level density of states ... 4.4 states/eV/cell

a = 5.054 Å, b = 5.054 Å, c = 4.954 Å
α = 90.00°, β = 90.00°, γ = 90.00°
Atoms (fractional coordinates):
Zn (0.000, 0.000, 0.000)
Cd (0.500, 0.500, 0.000)
Ir (0.000, 0.500, 0.500)
Ir (0.500, 0.000, 0.500)
Pb (0.000, 0.000, 0.500)

Repeat the first record exactly.
Th2CdIrPb: relaxed, PBE.

Calculated values
E_form ... -0.52 eV per atom
Fermi-level density of states ... 7.6 states/eV/cell

a = 7.830 Å, b = 4.273 Å, c = 9.032 Å
α = 90.00°, β = 113.83°, γ = 90.00°
Atoms (fractional coordinates):
Th (0.049, 0.250, 0.193)
Th (0.447, 0.750, 0.150)
Th (0.553, 0.250, 0.850)
Th (0.951, 0.750, 0.807)
Cd (0.113, 0.250, 0.607)
Cd (0.887, 0.750, 0.393)
Ir (0.224, 0.250, 0.957)
Ir (0.776, 0.750, 0.043)
Pb (0.348, 0.750, 0.514)
Pb (0.652, 0.250, 0.486)